1.
Hf2PaV, relaxed, DFT GGA-PBE; energy above the lowest structure with this stoichiometry = 0.0000 eV per atom; calculated total energy = -9.452 eV/atom; space-group type = P4/mmm, No. 123; DFT formation energy = 178 meV per atom; Fermi-level density of states = 7.910 states/eV/f.u.
1.0
3.199 0.000 0.000
0.000 3.199 0.000
0.000 0.000 8.220
Hf Pa V
2 1 1
Cartesian
0.000 0.000 1.707
0.000 0.000 6.513
1.600 1.600 4.110
1.600 1.600 0.000


2.
HfPaV, relaxed, DFT GGA-PBE; energy above the lowest structure with this stoichiometry = 0.0000 eV per atom; calculated total energy = -9.333 eV/atom; space-group type = P3m1, No. 156; DFT formation energy = 189 meV per atom; Fermi-level density of states = 4.492 states/eV/f.u.
1.0
4.687 0.000 0.000
-2.343 4.059 0.000
0.000 0.000 3.132
Hf Pa V
1 1 1
Cartesian
0.000 0.000 0.000
0.000 2.706 1.340
2.343 1.353 1.957


3.
HfPaV2, relaxed, DFT GGA-PBE; energy above the lowest structure with this stoichiometry = 0.0223 eV per atom; calculated total energy = -9.282 eV/atom; space-group type = P4/mmm, No. 123; DFT formation energy = 140 meV per atom; Fermi-level density of states = 6.460 states/eV/f.u.
1.0
3.299 0.000 0.000
0.000 3.299 0.000
0.000 0.000 6.694
Hf Pa V
1 1 2
Cartesian
0.000 0.000 0.000
0.000 0.000 3.347
1.650 1.650 1.822
1.650 1.650 4.872


4.
HfPaW4, relaxed, DFT GGA-PBE; calculated total energy = -11.805 eV/atom; space-group type = F-43m, No. 216; DFT formation energy = 72 meV per atom; Fermi-level density of states = 6.636 states/eV/f.u.
1.0
0.000 3.874 3.874
3.874 0.000 3.874
3.874 3.874 0.000
Hf Pa W
1 1 4
Cartesian
0.000 0.000 0.000
1.937 1.937 1.937
4.841 2.907 2.907
2.907 4.841 2.907
2.907 2.907 4.841
4.841 4.841 4.841